(1)
VASP calculation (PBE) on a relaxed structure of LiYMn2.

```
LiYMn2
1.0
3.129 0.000 0.000
-1.564 2.709 0.000
0.000 0.000 27.835
Li Y Mn
3 3 6
direct
0.000 0.000 0.000 Li
0.333 0.667 0.667 Li
0.667 0.333 0.333 Li
0.000 0.000 0.229 Y
0.333 0.667 0.895 Y
0.667 0.333 0.562 Y
0.000 0.000 0.475 Mn
0.000 0.000 0.748 Mn
0.333 0.667 0.141 Mn
0.333 0.667 0.415 Mn
0.667 0.333 0.082 Mn
0.667 0.333 0.808 Mn
```

The value obtained for the density of states at the Fermi level is 8.4 states/eV per cell. The calculated volume comes out at 236 Å³ per cell. Its spin magnetization is 0.092 μB per atom. For the raw total energy, the calculation gives -74.64 eV for the cell shown. The calculation puts the energy above the lowest structure with this stoichiometry at 0.214 eV per atom.


(2)
VASP calculation (PBE) on a relaxed structure of DyLuSc.

```
DyLuSc
1.0
3.433 0.000 0.000
0.000 3.433 0.000
0.000 0.000 14.437
Dy Lu Sc
2 2 2
direct
0.000 0.000 0.000 Dy
0.500 0.500 0.500 Dy
0.000 0.000 0.675 Lu
0.500 0.500 0.175 Lu
0.000 0.000 0.337 Sc
0.500 0.500 0.837 Sc
```

The value obtained for the density of states at the Fermi level is 8.9 states/eV per cell. The calculated volume comes out at 170 Å³ per cell. Its spin magnetization is 0.000 μB per atom. For the raw total energy, the calculation gives -30.63 eV for the cell shown. The calculation puts the energy above the lowest structure with this stoichiometry at 0.000 eV per atom.


no.,density (g/cm3)
1,4.3
2,7.5